# 1
The following is a DFT calculation (PBE-GGA) of an optimized crystal structure of CrHPd2Pt.

Unit cell a=3.9178 b=3.9178 c=4.0750 alpha=90.00 beta=90.00 gamma=90.00
Each line ends with the local moment (μB).
Sites, in units of the cell vectors:
Cr: 0.0000 0.0000 0.5000  3.10
H: 0.0000 0.0000 0.0000  -0.01
Pd: 0.5000 0.0000 0.0000  0.03
Pt: 0.5000 0.5000 0.5000  -0.05
Pd: 0.0000 0.5000 0.0000  0.03

Theoretical density: 12.2 g/cm3
Total moment: 3.3 μB/f.u.
Final energy: -0.4398 Ry per atom
Relative energy among the computed polymorphs: 0 meV per atom

---

# 2
The following is a DFT calculation (PBE-GGA) of an optimized crystal structure of Pm2MnOs3.

Unit cell a=5.4036 b=5.4036 c=5.4187 alpha=89.79 beta=119.87 gamma=120.28
Each line ends with the local moment (μB).
Sites, in units of the cell vectors:
Pm: 0.7546 0.3771 0.1317  -0.07
Os: 0.0000 0.0000 0.5000  0.02
Os: 0.5000 0.0000 0.5000  0.01
Os: 0.5000 0.5000 0.5000  0.02
Mn: 0.0000 0.0000 0.0000  2.98
Pm: 0.2454 0.6229 0.8683  -0.07

Theoretical density: 13.6 g/cm3
Total moment: 2.9 μB/f.u.
Formation enthalpy at 0 K: -0.133 eV/atom
Final energy: -0.6512 Ry per atom

---

> Which formula does entry 1 have?

CrHPd2Pt

---

> The lowest final energy belongs to which entry?

Pm2MnOs3